BaMgZr2 (PBE-GGA, optimized geometry); total magnetic moment = 0.00 Bohr magnetons per cell; energy of formation = 0.67 eV per atom; space-group type = No. 123
1.0
5.5472 0.0000 0.0000
0.0000 5.5472 0.0000
0.0000 0.0000 3.4715
Ba Mg Zr
1 1 2
Direct
0.0000 0.0000 0.0000 Ba
0.5000 0.5000 0.0000 Mg
0.0000 0.5000 0.5000 Zr
0.5000 0.0000 0.5000 Zr